[1]
SiHg3Pb | PBE-GGA | optimized geometry

extended XYZ file:
```
5
Lattice="5.833 0.000 0.000 0.000 5.833 0.000 0.000 0.000 5.833" Properties=species:S:1:pos:R:3 pbc="T T T"
Pb 0.000 0.000 0.000
Hg 0.000 2.916 0.000
Hg 2.916 0.000 0.000
Hg 0.000 0.000 2.916
Si 2.916 2.916 2.916
```

Output
V = 198.42 Å³ per cell
Spin magnetization = 2.207 μB/cell
Distance to the lowest polymorph of the same formula = 543 meV/atom

---

[2]
Si2HgPb | PBE-GGA | optimized geometry

extended XYZ file:
```
4
Lattice="-0.297 1.489 -3.085 0.384 -3.062 -1.516 -8.064 -1.126 0.234" Properties=species:S:1:pos:R:3 pbc="T T T"
Si -0.774 -0.901 -2.276
Si -1.312 -0.183 0.038
Pb -6.061 -1.639 -2.123
Hg -3.862 -0.539 0.112
```

Output
V = 96.30 Å³ per cell
Spin magnetization = 0.000 μB/cell
Distance to the lowest polymorph of the same formula = 82 meV/atom

---

[3]
SiHgPb2 | PBE-GGA | optimized geometry

extended XYZ file:
```
8
Lattice="-1.716 -2.281 -6.237 -4.911 -3.901 2.777 -7.200 1.396 -2.301" Properties=species:S:1:pos:R:3 pbc="T T T"
Pb -3.432 -1.492 -3.929
Pb -8.041 -1.394 -2.935
Pb -11.043 -4.238 -4.841
Pb -5.138 -2.446 0.184
Si -3.313 -3.091 -1.730
Si -7.712 -2.797 -0.627
Hg 0.000 0.000 0.000
Hg -6.115 -1.987 -5.134
```

Output
V = 280.58 Å³ per cell
Spin magnetization = 0.000 μB/cell
Distance to the lowest polymorph of the same formula = 137 meV/atom

---

[4]
SiHg3Pb | PBE-GGA | optimized geometry

extended XYZ file:
```
5
Lattice="-3.177 3.401 -2.309 -3.817 -1.357 3.253 1.526 3.685 3.328" Properties=species:S:1:pos:R:3 pbc="T T T"
Hg -1.589 1.700 -1.154
Hg -1.908 -0.679 1.626
Hg 0.763 1.843 1.664
Si 0.000 0.000 0.000
Pb -2.734 2.864 2.136
```

Output
V = 140.21 Å³ per cell
Spin magnetization = 0.000 μB/cell
Distance to the lowest polymorph of the same formula = 0 meV/atom

---

[5]
Si2HgPb | PBE-GGA | optimized geometry

extended XYZ file:
```
4
Lattice="-3.628 -1.534 -3.523 -2.649 -3.511 2.930 0.994 5.163 0.537" Properties=species:S:1:pos:R:3 pbc="T T T"
Pb -2.397 -0.435 1.585
Si -6.089 -4.893 -0.575
Si -3.327 -2.673 -0.314
Hg -2.886 0.553 -1.641
```

Output
V = 90.97 Å³ per cell
Spin magnetization = 0.000 μB/cell
Distance to the lowest polymorph of the same formula = 376 meV/atom

---

[6]
Si2HgPb | PBE-GGA | optimized geometry

extended XYZ file:
```
4
Lattice="5.900 0.033 0.111 4.642 3.641 0.111 2.301 0.802 5.242" Properties=species:S:1:pos:R:3 pbc="T T T"
Si 12.009 4.185 4.797
Si 7.255 2.528 3.399
Pb 3.211 1.119 1.366
Hg 9.632 3.357 4.098
```

Output
V = 110.77 Å³ per cell
Spin magnetization = 0.000 μB/cell
Distance to the lowest polymorph of the same formula = 197 meV/atom

---

[7]
Si2HgPb | PBE-GGA | optimized geometry

extended XYZ file:
```
4
Lattice="-4.222 -2.516 1.025 1.078 -2.799 -2.428 2.354 -2.437 3.713" Properties=species:S:1:pos:R:3 pbc="T T T"
Pb 0.463 -5.185 1.476
Si 1.483 -2.383 0.259
Si 1.311 -3.034 -2.045
Hg -1.253 -2.567 0.834
```

Output
V = 97.38 Å³ per cell
Spin magnetization = 0.000 μB/cell
Distance to the lowest polymorph of the same formula = 235 meV/atom

---

[8]
SiHgPb | PBE-GGA | optimized geometry

extended XYZ file:
```
3
Lattice="6.541 -0.030 0.000 4.727 4.521 0.000 -5.634 -2.245 2.449" Properties=species:S:1:pos:R:3 pbc="T T T"
Hg 11.014 4.389 0.000
Pb 7.639 3.044 0.000
Si 3.883 1.548 0.000
```

Output
V = 72.77 Å³ per cell
Spin magnetization = 0.000 μB/cell
Distance to the lowest polymorph of the same formula = 65 meV/atom

---

[9]
Si2HgPb | PBE-GGA | optimized geometry

extended XYZ file:
```
4
Lattice="3.254 -0.081 0.000 -1.471 2.903 0.000 0.000 0.000 9.711" Properties=species:S:1:pos:R:3 pbc="T T T"
Si 0.000 0.000 0.190
Si 0.000 0.000 4.665
Hg 0.891 1.411 2.428
Pb 0.891 1.411 7.283
```

Output
V = 90.58 Å³ per cell
Spin magnetization = 0.000 μB/cell
Distance to the lowest polymorph of the same formula = 404 meV/atom

---

[10]
Si2HgPb | PBE-GGA | optimized geometry

extended XYZ file:
```
4
Lattice="0.000 3.553 3.553 3.553 0.000 3.553 3.553 3.553 0.000" Properties=species:S:1:pos:R:3 pbc="T T T"
Pb 3.553 3.553 3.553
Si 5.329 5.329 5.329
Si 1.776 1.776 1.776
Hg 0.000 0.000 0.000
```

Output
V = 89.67 Å³ per cell
Spin magnetization = 0.000 μB/cell
Distance to the lowest polymorph of the same formula = 414 meV/atom

---

[11]
Si2HgPb | PBE-GGA | optimized geometry

extended XYZ file:
```
4
Lattice="-3.767 3.298 0.496 -1.853 1.035 4.562 0.850 4.492 2.100" Properties=species:S:1:pos:R:3 pbc="T T T"
Pb -3.577 6.619 5.368
Si 0.000 0.000 0.000
Si -1.192 2.206 1.789
Hg -2.385 4.413 3.579
```

Output
V = 90.06 Å³ per cell
Spin magnetization = 0.000 μB/cell
Distance to the lowest polymorph of the same formula = 439 meV/atom

---

[12]
SiHgPb2 | PBE-GGA | optimized geometry

extended XYZ file:
```
4
Lattice="-0.815 -0.567 3.209 3.347 -0.167 0.232 0.342 9.248 1.721" Properties=species:S:1:pos:R:3 pbc="T T T"
Pb 1.364 2.272 2.211
Pb 0.336 9.076 1.689
Si 0.177 4.787 0.891
Hg 1.511 6.251 2.952
```

Output
V = 104.71 Å³ per cell
Spin magnetization = 0.000 μB/cell
Distance to the lowest polymorph of the same formula = 73 meV/atom